{"formula": "CsZr2PdN", "functional": "PBE", "state": "optimized geometry", "lattice": [[-4.212, 1.025, -0.756], [-1.035, -5.718, -1.985], [-1.035, -1.234, 4.095]], "species": ["Cs", "Zr", "Zr", "Pd", "N"], "frac_coords": [[0.500, 0.500, 0.500], [0.000, 0.000, 0.500], [0.500, 0.000, 0.000], [0.000, 0.500, 0.000], [0.000, 0.000, 0.000]], "mass_density_kg_m3": 6086, "n_ef_per_ev_cell": 5.02, "e_tot_ev_per_cell": -30.08, "vol_a3_per_atom": 23.8, "spacegroup": "No. 123", "raw_formation_energy_ev_per_atom": 0.278}